Entry 1:
# UB2Ru3, relaxed, DFT GGA-PBE
data_UB2Ru3
_space_group_name_H-M_alt 'P 6/m m m'
_space_group_IT_number 191
_space_group_name_Hall '-P 6 2'
_cell_length_a 5.5091
_cell_length_b 5.5091
_cell_length_c 2.9638
_cell_angle_alpha 90.00
_cell_angle_beta 90.00
_cell_angle_gamma 120.00
loop_
_atom_site_label
_atom_site_type_symbol
_atom_site_fract_x
_atom_site_fract_y
_atom_site_fract_z
U1 U 0.0000 0.0000 0.0000
B1 B 0.3333 0.6667 0.0000
Ru1 Ru 0.0000 0.5000 0.5000
# - DFT formation energy (eV per atom) = -0.436
# - crystal system = hexagonal


Entry 2:
# BaCdPdS2, relaxed, DFT GGA-PBE
data_BaCdPdS2
_space_group_name_H-M_alt 'P 4/m m m'
_space_group_IT_number 123
_space_group_name_Hall '-P 4 2'
_cell_length_a 5.067
_cell_length_b 5.067
_cell_length_c 4.959
_cell_angle_alpha 90.00
_cell_angle_beta 90.00
_cell_angle_gamma 90.00
loop_
_atom_site_label
_atom_site_type_symbol
_atom_site_fract_x
_atom_site_fract_y
_atom_site_fract_z
Ba1 Ba 0.000 0.000 0.000
Cd1 Cd 0.500 0.500 0.000
Pd1 Pd 0.500 0.500 0.500
S1 S 0.000 0.500 0.500
# - raw formation energy (kJ per mole of atoms) = -59.6
# - crystal system = tetragonal


Entry 3:
# TbPmS2O, relaxed, DFT GGA-PBE
data_TbPmS2O
_space_group_name_H-M_alt 'P 4/n m m'
_space_group_IT_number 129
_cell_length_a 3.936
_cell_length_b 3.936
_cell_length_c 14.023
_cell_angle_alpha 90.00
_cell_angle_beta 90.00
_cell_angle_gamma 90.00
loop_
_space_group_symop_operation_xyz
'x,y,z'
'-x,-y,-z'
'-y+1/2,x,z'
'y+1/2,-x,-z'
'-x+1/2,-y+1/2,z'
'x+1/2,y+1/2,-z'
'y,-x+1/2,z'
'-y,x+1/2,-z'
'x+1/2,-y,-z'
'-x+1/2,y,z'
'-y,-x,-z'
'y,x,z'
'-x,y+1/2,-z'
'x,-y+1/2,z'
'y+1/2,x+1/2,-z'
'-y+1/2,-x+1/2,z'
loop_
_atom_site_label
_atom_site_type_symbol
_atom_site_fract_x
_atom_site_fract_y
_atom_site_fract_z
Tb1 Tb 0.250 0.250 0.123
Pm1 Pm 0.250 0.250 0.586
S1 S 0.250 0.250 0.302
S2 S 0.250 0.250 0.909
O1 O 0.250 0.750 0.500
# - raw formation energy (kJ per mole of atoms) = -241.9
# - crystal system = tetragonal


Entry 4:
# NaTe2Au, relaxed, DFT GGA-PBE
data_NaTe2Au
_space_group_name_H-M_alt 'R -3 m'
_space_group_IT_number 166
_space_group_name_Hall '-R 3 2"'
_cell_length_a 3.7774
_cell_length_b 3.7774
_cell_length_c 28.9857
_cell_angle_alpha 90.00
_cell_angle_beta 90.00
_cell_angle_gamma 120.00
loop_
_atom_site_label
_atom_site_type_symbol
_atom_site_fract_x
_atom_site_fract_y
_atom_site_fract_z
Na1 Na 0.0000 0.0000 0.0000
Te1 Te 0.0000 0.0000 0.4112
Au1 Au 0.0000 0.0000 0.5000
# - raw formation energy (kJ per mole of atoms) = -10.3
# - crystal system = trigonal
# - offset from the most stable computed form (meV per atom) = 247.8


Calculated density for the records above, in order: 11.998, 5.481, 5.872, 6.608 Mg/m³
Density of states at the Fermi level for the records above, in order: 6.3, 3.0, 1.4, 7.1 states/eV/cell